Record 1
Density functional theory data (PBE) for crystalline NiTeIr2 at its relaxed geometry.

Values from the calculation:
**Calculated volume**: 15.6 Å³/atom
**Relative energy among the computed polymorphs**: 169.3 meV per atom
**Total magnetic moment**: 0.000 μB per atom
**Raw formation energy**: 469 meV/atom
**Space-group type**: No. 44

Unit cell a=3.0321 b=4.5040 c=9.1585 alpha=90.00 beta=90.00 gamma=90.00
With the nearest neighbours (Å) after each atom.
Element x y z (fractional)
1 Ni 0.0000 0.0000 0.0000  2 Te 2.60, 6 Ir 2.67-2.72
2 Ni 0.5000 0.5000 0.5000  2 Te 2.60, 6 Ir 2.67-2.72
3 Te 0.0000 0.5000 0.7312  2 Ni 2.60, 6 Ir 2.71-2.73
4 Te 0.5000 0.0000 0.2312  2 Ni 2.60, 6 Ir 2.71-2.73
5 Ir 0.0000 0.0000 0.4766  2 Te 2.71, 4 Ni 2.72, 6 Ir 3.00-3.03
6 Ir 0.0000 0.5000 0.2606  2 Ni 2.67, 4 Te 2.73
7 Ir 0.5000 0.0000 0.7606  2 Ni 2.67, 4 Te 2.73
8 Ir 0.5000 0.5000 0.9766  2 Te 2.71, 4 Ni 2.72, 6 Ir 3.00-3.03



Record 2
Density functional theory data (PBE) for crystalline NiTeIr2 at its relaxed geometry.

Values from the calculation:
**Calculated volume**: 16.4 Å³/atom
**Relative energy among the computed polymorphs**: 380.9 meV per atom
**Total magnetic moment**: 0.009 μB per atom
**Raw formation energy**: 681 meV/atom
**Space-group type**: No. 35

Unit cell a=2.8430 b=5.0107 c=9.2141 alpha=90.00 beta=90.00 gamma=90.00
With the nearest neighbours (Å) after each atom.
Element x y z (fractional)
1 Ni 0.0000 0.0000 0.0000  2 Ir 2.53, 2 Te 2.70
2 Ni 0.5000 0.5000 0.0000  2 Ir 2.53, 2 Te 2.70
3 Te 0.0000 0.5000 0.7511  2 Ni 2.70, 6 Te 2.84-2.88, 2 Ir 2.95
4 Te 0.5000 0.0000 0.7511  2 Ni 2.70, 6 Te 2.84-2.88, 2 Ir 2.95
5 Ir 0.0000 0.0000 0.4709  8 Ir 2.66-2.88, 2 Te 2.95
6 Ir 0.0000 0.5000 0.2271  2 Ni 2.53, 2 Ir 2.66
7 Ir 0.5000 0.0000 0.2271  2 Ni 2.53, 2 Ir 2.66
8 Ir 0.5000 0.5000 0.4709  8 Ir 2.66-2.88, 2 Te 2.95



Record 3
Density functional theory data (PBE) for crystalline NiTeIr at its relaxed geometry.

Values from the calculation:
**Calculated volume**: 17.8 Å³/atom
**Total magnetic moment**: 0.000 μB per atom
**Raw formation energy**: 381 meV/atom
**Space-group type**: No. 187

Unit cell a=3.7373 b=3.7373 c=8.8274 alpha=90.00 beta=90.00 gamma=120.00
With the nearest neighbours (Å) after each atom.
Element x y z (fractional)
1 Ni 0.0000 0.0000 0.1396  1 Ni 2.46, 3 Ir 2.48, 3 Te 2.60
2 Ni 0.0000 0.0000 0.8604  1 Ni 2.46, 3 Ir 2.48, 3 Te 2.60
3 Te 0.3333 0.6667 0.3034  3 Ni 2.60, 3 Ir 2.77
4 Te 0.3333 0.6667 0.6966  3 Ni 2.60, 3 Ir 2.77
5 Ir 0.6667 0.3333 0.0000  6 Ni 2.48
6 Ir 0.6667 0.3333 0.5000  6 Te 2.77